(1)
VASP calculation (PBEsol) on crystalline ZrFe2Ru at its relaxed geometry.

Results
The calculation puts the mass density at 9.17 g/cm3.

Lattice parameters (Å, degrees): 4.1833 4.1833 3.1444 90.00 90.00 90.00
Space group P4/mmm (No. 123)
Unique sites:
Zr1 0.0000 0.0000 0.0000 [1 per cell]
Fe1 0.0000 0.5000 0.5000 [2 per cell]
Ru1 0.5000 0.5000 0.0000 [1 per cell]

(2)
VASP calculation (PBEsol) on crystalline ZrFe2Ru2 at its relaxed geometry.

Results
The calculation puts the mass density at 9.49 g/cm3.

Lattice parameters (Å, degrees): 3.8000 3.8000 9.8176 90.00 90.00 90.00
Space group I4/mmm (No. 139)
Unique sites:
Zr1 0.0000 0.0000 0.0000 [2 per cell]
Fe1 0.0000 0.0000 0.3985 [4 per cell]
Ru1 0.0000 0.5000 0.2500 [4 per cell]

(3)
VASP calculation (PBEsol) on crystalline ZrFe4Ru at its relaxed geometry.

Results
The calculation puts the mass density at 9.05 g/cm3.

Lattice parameters (Å, degrees): 6.7327 6.7327 6.7327 90.00 90.00 90.00
Space group F-43m (No. 216)
Unique sites:
Zr1 0.0000 0.0000 0.0000 [4 per cell]
Fe1 0.1240 0.1240 0.3760 [16 per cell]
Ru1 0.2500 0.2500 0.7500 [4 per cell]

(4)
VASP calculation (PBEsol) on crystalline ZrFe2Ru at its relaxed geometry.

Results
The calculation puts the mass density at 9.30 g/cm3.

Lattice parameters (Å, degrees): 2.7239 3.6288 5.4906 90.00 90.00 90.00
Space group Pmmm (No. 47)
Unique sites:
Zr1 0.0000 0.0000 0.0000 [1 per cell]
Fe1 0.5000 0.5000 0.2870 [2 per cell]
Ru1 0.0000 0.0000 0.5000 [1 per cell]

Q: Which E_form values were calculated for the entries above? A: -0.0192, -0.0076, -0.0945, 0.0998, in eV/atom.
Q: Which E_tot values were calculated for the entries above? A: -0.68475, -0.69676, -0.68210, -0.67601, in Ry/atom.